(1)
Density functional theory data (PBE) for a relaxed Ce8Ir5Os crystal.

Output
M_tot in μB per atom: 0.132
E in Ha/atom: -0.293

Geometry as POSCAR:
```
Ce8Ir5Os
1.0
-1.0092 -7.3527 1.2346
5.6303 0.9838 -4.8925
1.6835 3.4021 6.4958
Ce Ir Os
8 5 1
Direct
0.1253 0.7483 0.4939 Ce
0.2442 0.2530 0.3787 Ce
0.5061 0.6313 0.2543 Ce
0.6213 0.8655 0.8744 Ce
0.1256 0.7470 0.9911 Ce
0.0089 0.1345 0.7558 Ce
0.6230 0.3687 0.8747 Ce
0.7457 0.2517 0.3770 Ce
0.7509 0.6272 0.6239 Ir
0.3761 0.1270 0.0033 Ir
0.8763 0.8730 0.2491 Ir
0.5000 0.0000 0.5000 Ir
0.9967 0.3728 0.1237 Ir
0.2500 0.5000 0.7500 Os
```

=====

(2)
Density functional theory data (PBE) for a relaxed MgIn2Ir crystal.

Output
M_tot in μB per atom: 0.000
E in Ha/atom: -0.148

Geometry as POSCAR:
```
MgIn2Ir
1.0
-2.3304 -3.2531 1.4318
1.6436 0.5316 3.8832
-3.0908 2.6314 0.9480
Mg Ir In
1 1 2
Direct
0.0000 0.5000 0.5000 Mg
0.5000 0.0000 0.5000 Ir
0.0000 0.0000 0.0000 In
0.5000 0.5000 0.0000 In
```